1.
Rb12Tl5Hg3: optimized geometry, PBE.

The calculation puts the formation energy at 0.12 eV/atom. For the density of states at the Fermi level, the calculation gives 83.84 states/eV per cell.

It has space group Ia-3d (No. 230), with a = 21.7968 Å, b = 21.7968 Å, c = 21.7968 Å, α = 90.00°, β = 90.00° and γ = 90.00°. The distinct sites, in fractional coordinates, are Rb at (0.0246, 0.0794, 0.6479), Tl at (0.0000, 0.0000, 0.0000), Tl at (0.0000, 0.2500, 0.3750) and Hg at (0.0000, 0.2500, 0.1250).

***

2.
Rb2TlHg2: optimized geometry, PBE.

The calculation puts the formation energy at -0.08 eV/atom. For the density of states at the Fermi level, the calculation gives 9.77 states/eV per cell. The relative energy among the computed polymorphs is 118 meV/atom.

It has space group I4/mmm (No. 139), with a = 4.4731 Å, b = 4.4731 Å, c = 21.5672 Å, α = 90.00°, β = 90.00° and γ = 90.00°. The distinct sites, in fractional coordinates, are Rb at (0.0000, 0.0000, 0.1096), Tl at (0.0000, 0.0000, 0.5000) and Hg at (0.0000, 0.5000, 0.2500).